1.
VASP calculation (GGA-PBE) on a relaxed KPaF6 crystal.

```
KPaF6
1.0
3.0820 -4.9993 2.5840
-2.9464 -3.6874 4.3463
-1.7475 -5.9826 -1.5242
F Pa K
6 1 1
direct
0.7307 0.7307 0.2693
0.7307 0.2693 0.7307
0.2693 0.7307 0.2693
0.2693 0.2693 0.7307
0.2693 0.7307 0.7307
0.7307 0.2693 0.2693
0.5000 0.5000 0.5000
0.0000 0.0000 0.0000
```

## Properties
For the total energy, the calculation gives -6.340 eV per atom. The calculation puts the magnetization at 0.00 Bohr magnetons per cell. As for the calculated volume: 186.78 Å³/cell.

2.
VASP calculation (GGA-PBE) on a relaxed KPdF4 crystal.

```
KPdF4
1.0
-3.6531 4.5475 -0.8152
-0.1785 -5.7893 1.0680
0.0471 1.3912 7.5492
F K Pd
8 2 2
direct
0.4453 0.5547 0.2500
0.3284 0.6716 0.9439
0.6716 0.3284 0.4439
0.5547 0.4453 0.7500
0.6716 0.3284 0.0561
0.3284 0.6716 0.5561
0.0000 0.0000 0.5000
0.0000 0.0000 0.0000
0.2111 0.7889 0.2500
0.7889 0.2111 0.7500
0.5000 0.5000 0.0000
0.5000 0.5000 0.5000
```

## Properties
For the total energy, the calculation gives -4.109 eV per atom. As for the calculated volume: 171.42 Å³/cell.

3.
VASP calculation (GGA-PBE) on a relaxed K3PdF7 crystal.

```
K3PdF7
1.0
4.1033 -3.9117 0.0000
4.1033 3.9117 0.0000
-3.4203 0.0000 5.4301
K Pd F
3 1 7
direct
0.4823 0.4823 0.9714
0.2074 0.7490 0.4859
0.7490 0.2074 0.4859
0.9848 0.9848 0.9869
0.0280 0.6485 0.7692
0.5398 0.5398 0.3764
0.9543 0.3138 0.2175
0.1375 0.1375 0.8383
0.3138 0.9543 0.2175
0.8295 0.8295 0.1315
0.6485 0.0280 0.7692
```

## Properties
For the total energy, the calculation gives -4.077 eV per atom. As for the calculated volume: 174.32 Å³/cell.

4.
VASP calculation (GGA-PBE) on a relaxed K2PdF4 crystal.

```
K2PdF4
1.0
2.4720 -3.7628 2.8832
-3.8893 -2.9554 -2.1727
3.1275 2.5126 -3.5338
F K Pd
4 2 1
direct
0.2430 0.7570 0.0000
0.2430 0.2430 0.4859
0.7570 0.2430 0.0000
0.7570 0.7570 0.5141
0.7500 0.2500 0.5000
0.2500 0.7500 0.5000
0.0000 0.0000 0.0000
```

## Properties
For the total energy, the calculation gives -4.244 eV per atom. As for the calculated volume: 115.07 Å³/cell.